[1]
# HfNi3W

A geometry-optimized HfNi3W structure (PBE, Alexandria).

abc: 4.4543 4.4543 4.4543
angles: 90.00 90.00 90.00
Closest atoms and distances in Å follow each position.
Space group Pm-3m (No. 221)
One atom of each set of equivalent atoms:
Hf: 0.0000 0.0000 0.0000 [1 per cell]  12 Ni 3.15
Ni: 0.0000 0.5000 0.5000 [3 per cell]  2 W 2.23
W: 0.5000 0.5000 0.5000 [1 per cell]  6 Ni 2.23

E_form ... 0.97 eV per atom
Final energy ... -35.4 eV per cell
Energy above the most stable polymorph in this dataset ... 0.0 meV/atom

=====

[2]
# HfNi4W

A geometry-optimized HfNi4W structure (PBE, Alexandria).

abc: 6.7993 6.7993 6.7993
angles: 90.00 90.00 90.00
Closest atoms and distances in Å follow each position.
Space group F-43m (No. 216)
One atom of each set of equivalent atoms:
Hf: 0.0000 0.0000 0.0000 [4 per cell]  12 Ni 2.82, 4 W 2.94
Ni: 0.1243 0.1243 0.6243 [16 per cell]  6 Ni 2.39-2.42
W: 0.2500 0.2500 0.2500 [4 per cell]  12 Ni 2.82, 4 Hf 2.94

E_form ... -0.18 eV per atom
Final energy ... -188.4 eV per cell

=====

[3]
# HfNiW2

A geometry-optimized HfNiW2 structure (PBE, Alexandria).

abc: 6.3389 6.3389 6.3389
angles: 90.00 90.00 90.00
Closest atoms and distances in Å follow each position.
Space group Fm-3m (No. 225)
One atom of each set of equivalent atoms:
Hf: 0.0000 0.0000 0.0000 [4 per cell]  8 W 2.74
Ni: 0.0000 0.0000 0.5000 [4 per cell]  8 W 2.74
W: 0.2500 0.2500 0.2500 [8 per cell]  4 Hf 2.74, 4 Ni 2.74

E_form ... 0.42 eV per atom
Final energy ... -159.8 eV per cell
Energy above the most stable polymorph in this dataset ... 0.0 meV/atom

=====

[4]
# HfNi3W

A geometry-optimized HfNi3W structure (PBE, Alexandria).

abc: 4.3900 4.3900 4.3900
angles: 90.00 90.00 90.00
Closest atoms and distances in Å follow each position.
Space group Pm-3m (No. 221)
One atom of each set of equivalent atoms:
Hf: 0.0000 0.0000 0.0000 [1 per cell]  6 Ni 2.19
Ni: 0.0000 0.0000 0.5000 [3 per cell]  2 Hf 2.19
W: 0.5000 0.5000 0.5000 [1 per cell]  12 Ni 3.10

E_form ... 1.53 eV per atom
Final energy ... -32.6 eV per cell
Energy above the most stable polymorph in this dataset ... 561.5 meV/atom

=====

[5]
# Hf2Ni2W

A geometry-optimized Hf2Ni2W structure (PBE, Alexandria).

abc: 7.2194 7.2194 3.0809
angles: 90.00 90.00 90.00
Closest atoms and distances in Å follow each position.
Space group P4/mbm (No. 127)
One atom of each set of equivalent atoms:
Hf: 0.1756 0.3244 0.0000 [4 per cell]  6 Ni 2.58-2.67
Ni: 0.1218 0.6218 0.5000 [4 per cell]  1 Ni 2.49, 6 Hf 2.58-2.67
W: 0.0000 0.0000 0.5000 [2 per cell]  4 Ni 2.87, 8 Hf 3.08, 2 W 3.08

E_form ... -0.17 eV per atom
Final energy ... -90.5 eV per cell

=====

[6]
# HfNiW2

A geometry-optimized HfNiW2 structure (PBE, Alexandria).

abc: 3.7049 3.7049 20.2023
angles: 90.00 90.00 90.00
Closest atoms and distances in Å follow each position.
Space group I-42d (No. 122)
One atom of each set of equivalent atoms:
Hf: 0.0000 0.0000 0.0000 [4 per cell]  4 Ni 2.62, 4 W 2.84
Ni: 0.0000 0.0000 0.5000 [4 per cell]  4 Hf 2.62, 4 W 2.85
W: 0.2466 0.2500 0.1250 [8 per cell]  4 W 2.60-2.64, 2 Hf 2.84, 2 Ni 2.85

E_form ... 0.51 eV per atom
Final energy ... -158.4 eV per cell
Energy above the most stable polymorph in this dataset ... 87.4 meV/atom

=====

[7]
# Hf2Ni9W

A geometry-optimized Hf2Ni9W structure (PBE, Alexandria).

abc: 3.7050 3.7050 11.1000
angles: 90.00 90.00 90.00
Closest atoms and distances in Å follow each position.
Space group P4/mmm (No. 123)
One atom of each set of equivalent atoms:
Hf: 0.0000 0.0000 0.1689 [2 per cell]  12 Ni 2.62-2.66
Ni: 0.0000 0.5000 0.0000 [2 per cell]  8 Ni 2.62-2.65, 4 Hf 2.64
Ni: 0.0000 0.5000 0.3409 [4 per cell]  2 W 2.56, 8 Ni 2.56-2.65, 2 Hf 2.66
Ni: 0.5000 0.5000 0.1707 [2 per cell]  4 Hf 2.62, 8 Ni 2.65
Ni: 0.5000 0.5000 0.5000 [1 per cell]  8 Ni 2.56, 4 W 2.62
W: 0.0000 0.0000 0.5000 [1 per cell]  12 Ni 2.56-2.62

E_form ... -0.28 eV per atom
Final energy ... -88.3 eV per cell

=====

[8]
# YHfNi2

A geometry-optimized YHfNi2 structure (PBE, Alexandria).

abc: 7.0748 7.0748 6.1586
angles: 90.00 90.00 90.00
Closest atoms and distances in Å follow each position.
Space group I-42d (No. 122)
One atom of each set of equivalent atoms:
Y: 0.0000 0.0000 0.0000 [4 per cell]  4 Ni 2.75, 2 Hf 3.08
Hf: 0.0000 0.0000 0.5000 [4 per cell]  4 Ni 2.49
Ni: 0.2223 0.7500 0.6250 [8 per cell]  2 Hf 2.49, 2 Y 2.75

E_form ... 0.08 eV per atom
Final energy ... -110.6 eV per cell
Energy above the most stable polymorph in this dataset ... 500.5 meV/atom

=====

[9]
# YHf2Ni

A geometry-optimized YHf2Ni structure (PBE, Alexandria).

abc: 3.2677 3.2677 7.8749
angles: 90.00 90.00 90.00
Closest atoms and distances in Å follow each position.
Space group P4/mmm (No. 123)
One atom of each set of equivalent atoms:
Y: 0.0000 0.0000 0.0000 [1 per cell]  4 Y 3.27, 8 Hf 3.34
Hf: 0.5000 0.5000 0.3068 [2 per cell]  4 Ni 2.77, 1 Hf 3.04
Ni: 0.0000 0.0000 0.5000 [1 per cell]  8 Hf 2.77

E_form ... -0.06 eV per atom
Final energy ... -32.4 eV per cell
Energy above the most stable polymorph in this dataset ... 0.0 meV/atom

=====

[10]
# YHfNi

A geometry-optimized YHfNi structure (PBE, Alexandria).

abc: 4.5064 4.5064 6.4409
angles: 90.00 90.00 90.00
Closest atoms and distances in Å follow each position.
Space group P4/nmm (No. 129, origin choice 2)
One atom of each set of equivalent atoms:
Y: 0.2500 0.2500 0.1189 [2 per cell]  1 Ni 2.72
Hf: 0.2500 0.7500 0.5000 [2 per cell]  4 Ni 2.59
Ni: 0.2500 0.2500 0.6968 [2 per cell]  4 Hf 2.59, 1 Y 2.72

E_form ... -0.33 eV per atom
Final energy ... -46.3 eV per cell
Energy above the most stable polymorph in this dataset ... 0.0 meV/atom

=====

[11]
# YHf2Ni

A geometry-optimized YHf2Ni structure (PBE, Alexandria).

abc: 7.8084 7.8084 5.9001
angles: 90.00 90.00 90.00
Closest atoms and distances in Å follow each position.
Space group I-42d (No. 122)
One atom of each set of equivalent atoms:
Y: 0.0000 0.0000 0.0000 [4 per cell]  2 Ni 2.95, 8 Hf 3.26-3.27
Hf: 0.1775 0.2500 0.6250 [8 per cell]  2 Ni 2.51
Ni: 0.0000 0.0000 0.5000 [4 per cell]  4 Hf 2.51

E_form ... 0.07 eV per atom
Final energy ... -127.5 eV per cell
Energy above the most stable polymorph in this dataset ... 132.5 meV/atom

=====

[12]
# YHfNi

A geometry-optimized YHfNi structure (PBE, Alexandria).

abc: 3.3129 3.3129 11.5609
angles: 90.00 90.00 90.00
Closest atoms and distances in Å follow each position.
Space group I4mm (No. 107)
One atom of each set of equivalent atoms:
Y: 0.0000 0.0000 0.0000 [2 per cell]  4 Ni 3.15, 5 Hf 3.29-3.42, 4 Y 3.31
Hf: 0.0000 0.0000 0.2844 [2 per cell]  4 Ni 2.63
Ni: 0.0000 0.0000 0.6816 [2 per cell]  4 Hf 2.63

E_form ... -0.19 eV per atom
Final energy ... -45.5 eV per cell
Energy above the most stable polymorph in this dataset ... 139.3 meV/atom

=====

| no. | V (A^3/atom) |
| --- | --- |
| 1 | 17.68 |
| 2 | 13.10 |
| 3 | 15.92 |
| 4 | 16.92 |
| 5 | 16.06 |
| 6 | 17.33 |
| 7 | 12.70 |
| 8 | 19.27 |
| 9 | 21.02 |
| 10 | 21.80 |
| 11 | 22.48 |
| 12 | 21.15 |